(1)
The following is a DFT calculation (PBE) of an optimized crystal structure of P3Ru2N.

Results
- Symmetry: No. 1
- Relative energy among the computed polymorphs: 338 meV per atom

Cell lengths 3.897, 4.328, 5.281 Å; angles 94.17, 99.01, 89.76 degrees
Fractional coordinates of all 6 atoms:
N: 0.160 0.880 0.056
Ru: 0.931 0.882 0.396
P: 0.841 0.948 0.820
P: 0.205 0.408 0.433
P: 0.476 0.612 0.107
Ru: 0.703 0.437 0.720

(2)
The following is a DFT calculation (PBE) of an optimized crystal structure of P3Ru2N.

Results
- Symmetry: No. 1
- Relative energy among the computed polymorphs: 300 meV per atom

Cell lengths 3.111, 3.841, 7.457 Å; angles 79.68, 87.64, 66.52 degrees
Fractional coordinates of all 6 atoms:
Ru: 0.695 0.426 0.867
P: 0.985 0.874 0.673
P: 0.093 0.594 0.068
Ru: 0.639 0.555 0.503
N: 0.860 0.024 0.115
P: 0.513 0.162 0.306

(3)
The following is a DFT calculation (PBE) of an optimized crystal structure of PRuN.

Results
- Symmetry: No. 14

Cell lengths 5.440, 5.395, 5.393 Å; angles 116.23, 90.00, 90.00 degrees
Fractional coordinates of all 12 atoms:
N: 0.898 0.174 0.823
Ru: 0.492 0.764 0.259
Ru: 0.008 0.764 0.759
P: 0.391 0.312 0.186
P: 0.609 0.688 0.814
N: 0.602 0.174 0.323
N: 0.398 0.826 0.677
P: 0.891 0.688 0.314
N: 0.102 0.826 0.177
P: 0.109 0.312 0.686
Ru: 0.992 0.236 0.241
Ru: 0.508 0.236 0.741

(4)
The following is a DFT calculation (PBE) of an optimized crystal structure of PRuN3.

Results
- Symmetry: No. 221

Cell lengths 3.480, 3.480, 3.480 Å; angles 90.00, 90.00, 90.00 degrees
Fractional coordinates of all 5 atoms:
N: 0.500 0.000 0.000
Ru: 0.500 0.500 0.500
N: 0.000 0.500 0.000
P: 0.000 0.000 0.000
N: 0.000 0.000 0.500

(5)
The following is a DFT calculation (PBE) of an optimized crystal structure of P3Ru2N.

Results
- Symmetry: No. 8
- Relative energy among the computed polymorphs: 289 meV per atom

Cell lengths 7.320, 2.904, 7.602 Å; angles 90.00, 93.92, 90.00 degrees
Fractional coordinates of all 12 atoms:
P: 0.321 0.000 0.147
Ru: 0.144 0.000 0.822
Ru: 0.474 0.000 0.436
P: 0.922 0.500 0.691
P: 0.321 0.500 0.647
N: 0.903 0.500 0.476
Ru: 0.144 0.500 0.322
P: 0.705 0.000 0.844
N: 0.903 0.000 0.976
P: 0.922 0.000 0.191
P: 0.705 0.500 0.344
Ru: 0.474 0.500 0.936

(6)
The following is a DFT calculation (PBE) of an optimized crystal structure of P3RuN.

Results
- Symmetry: No. 1
- Relative energy among the computed polymorphs: 265 meV per atom

Cell lengths 3.898, 4.346, 5.082 Å; angles 103.24, 94.25, 104.92 degrees
Fractional coordinates of all 5 atoms:
P: 0.658 0.323 0.782
N: 0.348 0.343 0.994
Ru: 0.926 0.888 0.845
P: 0.410 0.760 0.088
P: 0.372 0.844 0.532

(7)
The following is a DFT calculation (PBE) of an optimized crystal structure of P3RuN.

Results
- Symmetry: No. 221
- Relative energy among the computed polymorphs: 1055 meV per atom

Cell lengths 3.937, 3.937, 3.937 Å; angles 90.00, 90.00, 90.00 degrees
Fractional coordinates of all 5 atoms:
Ru: 0.500 0.500 0.500
N: 0.000 0.000 0.000
P: 0.500 0.000 0.000
P: 0.000 0.000 0.500
P: 0.000 0.500 0.000

(8)
The following is a DFT calculation (PBE) of an optimized crystal structure of P3RuN.

Results
- Symmetry: No. 1
- Relative energy among the computed polymorphs: 280 meV per atom

Cell lengths 2.980, 4.766, 5.595 Å; angles 64.91, 76.01, 74.80 degrees
Fractional coordinates of all 5 atoms:
P: 0.837 0.810 0.484
P: 0.443 0.223 0.560
N: 0.863 0.807 0.157
Ru: 0.780 0.337 0.826
P: 0.474 0.581 0.132

Number 1: final energy -43.14 eV for the cell shown, density 5.85 g/cm³. Number 2: final energy -43.36 eV for the cell shown, density 6.39 g/cm³. Number 3: final energy -92.90 eV for the cell shown, density 6.83 g/cm³. Number 4: final energy -34.15 eV for the cell shown, density 6.86 g/cm³. Number 5: final energy -86.86 eV for the cell shown, density 6.37 g/cm³. Number 6: final energy -33.91 eV for the cell shown, density 4.31 g/cm³. Number 7: final energy -29.96 eV for the cell shown, density 5.66 g/cm³. Number 8: final energy -33.84 eV for the cell shown, density 5.03 g/cm³.